Entry 1:
Compound: LiHgBi
Source: OQMD via LeMat-Bulk
Functional: PBE
Structure: relaxed

Structure (POSCAR):
```
LiHgBi
1.0
4.248 -2.453 0.000
4.248 2.453 0.000
-2.833 0.000 8.011
Li Hg Bi
2 2 2
Direct
0.000 0.000 0.000 Li
0.506 0.506 0.500 Li
0.250 0.250 0.750 Hg
0.756 0.756 0.250 Hg
0.131 0.131 0.375 Bi
0.625 0.625 0.875 Bi
```

**Symmetry**: No. 8
**VASP energy**: -13.61 eV per cell



Entry 2:
Compound: CsTbTlTe3
Source: OQMD via LeMat-Bulk
Functional: PBE
Structure: relaxed

Structure (POSCAR):
```
CsTbTlTe3
1.0
2.313 -8.564 0.000
2.313 8.564 0.000
0.000 0.000 12.247
Cs Tb Tl Te
2 2 2 6
Direct
0.250 0.750 0.750 Cs
0.750 0.250 0.250 Cs
0.000 0.000 0.000 Tb
0.000 0.000 0.500 Tb
0.444 0.556 0.250 Tl
0.556 0.444 0.750 Tl
0.058 0.942 0.250 Te
0.376 0.624 0.022 Te
0.376 0.624 0.478 Te
0.624 0.376 0.522 Te
0.624 0.376 0.978 Te
0.942 0.058 0.750 Te
```

**Symmetry**: No. 63
**Magnetic moment**: 0.0016 μB per atom
**VASP energy**: -45.36 eV per cell



Entry 3:
Compound: PmZn2O4
Source: OQMD via LeMat-Bulk
Functional: PBE
Structure: relaxed

Structure (POSCAR):
```
PmZn2O4
1.0
0.000 4.484 4.484
4.484 0.000 4.484
4.484 4.484 0.000
Pm Zn O
2 4 8
Direct
0.125 0.125 0.125 Pm
0.875 0.875 0.875 Pm
0.000 0.500 0.500 Zn
0.500 0.000 0.500 Zn
0.500 0.500 0.000 Zn
0.500 0.500 0.500 Zn
0.266 0.266 0.266 O
0.266 0.266 0.702 O
0.266 0.702 0.266 O
0.298 0.734 0.734 O
0.702 0.266 0.266 O
0.734 0.298 0.734 O
0.734 0.734 0.298 O
0.734 0.734 0.734 O
```

**Symmetry**: No. 227
**Magnetic moment**: 0.1429 μB per atom
**VASP energy**: -78.88 eV per cell



Entry 4:
Compound: PuScTe
Source: OQMD via LeMat-Bulk
Functional: PBE
Structure: relaxed

Structure (POSCAR):
```
PuScTe
1.0
0.000 3.527 3.527
3.527 0.000 3.527
3.527 3.527 0.000
Pu Sc Te
1 1 1
Direct
0.000 0.000 0.000 Pu
0.500 0.500 0.500 Sc
0.250 0.250 0.250 Te
```

**Symmetry**: No. 216
**Magnetic moment**: 2.5520 μB per atom
**Polymorph energy (0 for the lowest one)**: 0 meV per atom